[1]
Material: La4Pr3UN8
Method: DFT, PBE-GGA
State: relaxed

Uncorrected energy (eV per atom): -8.339
Crystal system: trigonal
ΔE_f (raw) (meV/atom): -1343
Calculated volume (A^3/atom): 17.5
DOS(E_F) (states/eV/atom): 0.44

Unit cell a=7.362 b=7.362 c=7.362 alpha=59.69 beta=59.69 gamma=59.69
Fractional positions:
La 0.000 0.000 0.000
La 0.000 0.500 0.500
La 0.500 0.000 0.500
La 0.500 0.500 0.000
Pr 0.000 0.000 0.500
Pr 0.000 0.500 0.000
Pr 0.500 0.000 0.000
U 0.500 0.500 0.500
N 0.250 0.250 0.250
N 0.276 0.722 0.722
N 0.278 0.278 0.724
N 0.278 0.724 0.278
N 0.722 0.276 0.722
N 0.722 0.722 0.276
N 0.724 0.278 0.278
N 0.750 0.750 0.750

=====

[2]
Material: La3Pr4UN8
Method: DFT, PBE-GGA
State: relaxed

Uncorrected energy (eV per atom): -8.321
Crystal system: trigonal
ΔE_f (raw) (meV/atom): -1334
Calculated volume (A^3/atom): 17.5
DOS(E_F) (states/eV/atom): 0.46

Unit cell a=7.324 b=7.324 c=7.324 alpha=60.23 beta=60.23 gamma=60.23
Fractional positions:
La 0.000 0.500 0.500
La 0.500 0.000 0.500
La 0.500 0.500 0.000
Pr 0.000 0.000 0.500
Pr 0.000 0.500 0.000
Pr 0.500 0.000 0.000
Pr 0.500 0.500 0.500
U 0.000 0.000 0.000
N 0.221 0.778 0.778
N 0.222 0.222 0.779
N 0.222 0.779 0.222
N 0.250 0.250 0.250
N 0.750 0.750 0.750
N 0.778 0.221 0.778
N 0.778 0.778 0.221
N 0.779 0.222 0.222

=====

[3]
Material: LaPrVN3
Method: DFT, PBE-GGA
State: relaxed

Uncorrected energy (eV per atom): -8.526
Crystal system: monoclinic
ΔE_f (raw) (meV/atom): -1226
Calculated volume (A^3/atom): 15.1
DOS(E_F) (states/eV/atom): 0.17

Unit cell a=6.943 b=6.943 c=7.228 alpha=105.08 beta=105.08 gamma=32.74
Fractional positions:
La 0.145 0.145 0.072
La 0.855 0.855 0.928
Pr 0.146 0.146 0.573
Pr 0.854 0.854 0.427
V 0.499 0.499 0.742
V 0.501 0.501 0.258
N 0.000 0.000 0.254
N 0.000 0.000 0.746
N 0.346 0.346 0.174
N 0.346 0.346 0.672
N 0.654 0.654 0.328
N 0.654 0.654 0.826

=====

[4]
Material: LaPr2VN4
Method: DFT, PBE-GGA
State: relaxed

Uncorrected energy (eV per atom): -8.275
Crystal system: orthorhombic
ΔE_f (raw) (meV/atom): -1162
Calculated volume (A^3/atom): 16.5
DOS(E_F) (states/eV/atom): 0.45

Unit cell a=6.315 b=6.315 c=12.374 alpha=90.00 beta=90.00 gamma=147.76
Fractional positions:
La 0.083 0.917 0.750
La 0.917 0.083 0.250
Pr 0.368 0.632 0.543
Pr 0.368 0.632 0.957
Pr 0.632 0.368 0.043
Pr 0.632 0.368 0.457
V 0.178 0.822 0.250
V 0.822 0.178 0.750
N 0.000 0.000 0.000
N 0.000 0.000 0.500
N 0.269 0.731 0.136
N 0.269 0.731 0.364
N 0.415 0.585 0.750
N 0.585 0.415 0.250
N 0.731 0.269 0.636
N 0.731 0.269 0.864

=====

[5]
Material: La2PrWN4
Method: DFT, PBE-GGA
State: relaxed

Uncorrected energy (eV per atom): -8.542
Crystal system: orthorhombic
ΔE_f (raw) (meV/atom): -931
Calculated volume (A^3/atom): 17.3
DOS(E_F) (states/eV/atom): 0.51

Unit cell a=6.389 b=6.389 c=12.831 alpha=90.00 beta=90.00 gamma=148.16
Fractional positions:
La 0.131 0.869 0.538
La 0.131 0.869 0.962
La 0.869 0.131 0.038
La 0.869 0.131 0.462
Pr 0.416 0.584 0.750
Pr 0.584 0.416 0.250
W 0.324 0.676 0.250
W 0.676 0.324 0.750
N 0.078 0.922 0.750
N 0.229 0.771 0.135
N 0.229 0.771 0.365
N 0.500 0.500 0.000
N 0.500 0.500 0.500
N 0.771 0.229 0.635
N 0.771 0.229 0.865
N 0.922 0.078 0.250

=====

[6]
Material: LaPrYN3
Method: DFT, PBE-GGA
State: relaxed

Uncorrected energy (eV per atom): -8.173
Crystal system: monoclinic
ΔE_f (raw) (meV/atom): -1315
Calculated volume (A^3/atom): 17.3

Unit cell a=6.229 b=3.636 c=9.347 alpha=90.00 beta=101.74 gamma=90.00
Fractional positions:
La 0.146 0.250 0.194
La 0.854 0.750 0.806
Pr 0.270 0.750 0.546
Pr 0.730 0.250 0.454
Y 0.357 0.250 0.862
Y 0.643 0.750 0.138
N 0.038 0.250 0.680
N 0.259 0.750 0.985
N 0.469 0.750 0.342
N 0.531 0.250 0.658
N 0.741 0.250 0.015
N 0.962 0.750 0.320